! HfZnPd2 (PBE-GGA, optimized geometry); values from VASP
&SYSTEM
  ibrav = 0, nat = 8, ntyp = 3
/
ATOMIC_SPECIES
Hf 178.49 Hf.upf
Zn 65.41 Zn.upf
Pd 106.42 Pd.upf
CELL_PARAMETERS angstrom
4.5437 0.0000 0.0000
-2.2719 3.9350 0.0000
0.0000 0.0000 7.5969
ATOMIC_POSITIONS crystal
Hf 0.0000 0.0000 0.2500
Hf 0.0000 0.0000 0.7500
Zn 0.3333 0.6667 0.2500
Zn 0.6667 0.3333 0.7500
Pd 0.3333 0.6667 0.5782
Pd 0.3333 0.6667 0.9218
Pd 0.6667 0.3333 0.0782
Pd 0.6667 0.3333 0.4218
! Formation enthalpy at 0 K   -0.317 eV/atom